# MgH6Pd5

MgH6Pd5 after structural relaxation (PBE, Alexandria).

Computed properties:
The crystal system is monoclinic. The magnetization is 0.00 μB/f.u. The density comes out at 8.5 g/cm3. Its space group is C2/m, No. 12. The value obtained for the energy is -4.17 eV/atom.

extended XYZ file:
```
12
Lattice="5.191 0.350 0.000 1.799 4.992 0.000 0.900 2.496 4.346" Properties=species:S:1:pos:R:3 pbc="T T T"
H 4.881 3.971 0.000
H 3.358 5.989 2.718
H 2.110 1.371 0.000
H 4.532 1.849 1.628
H 5.432 4.345 2.718
H 2.459 3.493 1.628
Mg 0.000 0.000 0.000
Pd 0.900 2.496 1.495
Pd 3.495 2.671 2.945
Pd 1.799 4.992 2.851
Pd 4.395 5.167 1.401
Pd 3.495 2.671 0.000
```


# ZrTa2C

ZrTa2C after structural relaxation (PBE, Alexandria).

Computed properties:
The crystal system is tetragonal. The magnetization is 0.00 μB/f.u. The density comes out at 11.1 g/cm3. Its space group is P4mm, No. 99. The value obtained for the energy is -10.20 eV/atom. Its formation enthalpy at 0 K is 167 meV/atom.

extended XYZ file:
```
4
Lattice="3.030 0.000 0.000 0.000 3.030 0.000 0.000 0.000 7.608" Properties=species:S:1:pos:R:3 pbc="T T T"
Ta 0.000 0.000 6.921
Ta 1.515 1.515 1.591
Zr 0.000 0.000 3.781
C 1.515 1.515 6.728
```


# Al2CrHg

Al2CrHg after structural relaxation (PBE, Alexandria).

Computed properties:
The crystal system is monoclinic. The magnetization is 2.27 μB/f.u. The density comes out at 7.2 g/cm3. Its space group is P2/m, No. 10. The value obtained for the energy is -4.30 eV/atom. Its formation enthalpy at 0 K is 49 meV/atom.

extended XYZ file:
```
4
Lattice="2.921 0.000 0.000 0.000 3.001 -0.015 0.000 -0.481 8.108" Properties=species:S:1:pos:R:3 pbc="T T T"
Cr 1.461 0.630 2.023
Hg 1.461 1.890 6.069
Al 0.000 2.138 3.566
Al 0.000 2.123 0.465
```


# InMo2PIr

InMo2PIr after structural relaxation (PBE, Alexandria).

Computed properties:
The crystal system is tetragonal. The magnetization is 4.39 μB/f.u. The density comes out at 7.7 g/cm3. Its space group is P4/mmm, No. 123. The value obtained for the energy is -5.13 eV/atom. Its formation enthalpy at 0 K is 2600 meV/atom.

extended XYZ file:
```
5
Lattice="4.996 0.000 0.000 0.000 4.591 0.000 0.000 0.000 4.996" Properties=species:S:1:pos:R:3 pbc="T T T"
Mo 0.000 0.000 2.498
Mo 2.498 0.000 0.000
Ir 2.498 2.295 2.498
In 0.000 0.000 0.000
P 0.000 2.295 0.000
```


# CeCo2GeC

CeCo2GeC after structural relaxation (PBE, Alexandria).

Computed properties:
The crystal system is orthorhombic. The magnetization is 0.40 μB/f.u. The density comes out at 8.0 g/cm3. Its space group is Cmcm, No. 63. The value obtained for the energy is -7.23 eV/atom. Its formation enthalpy at 0 K is -428 meV/atom.

extended XYZ file:
```
10
Lattice="3.856 0.000 0.000 -1.928 5.410 0.000 0.000 0.000 6.816" Properties=species:S:1:pos:R:3 pbc="T T T"
Ge 1.928 2.420 5.112
Ge 0.000 2.990 1.704
Co 1.928 3.675 0.369
Co 1.928 3.675 3.039
Co 0.000 1.735 3.777
Co 0.000 1.735 6.447
C 0.000 0.000 0.000
C 0.000 0.000 3.408
Ce 1.928 0.598 1.704
Ce 0.000 4.812 5.112
```


# Cr2HgOs

Cr2HgOs after structural relaxation (PBE, Alexandria).

Computed properties:
The crystal system is tetragonal. The magnetization is 4.94 μB/f.u. The density comes out at 13.5 g/cm3. Its space group is I4/mmm, No. 139. The value obtained for the energy is -7.06 eV/atom. Its formation enthalpy at 0 K is 631 meV/atom.

extended XYZ file:
```
4
Lattice="4.676 -0.206 -0.020 1.351 4.481 0.020 -3.001 -2.156 2.873" Properties=species:S:1:pos:R:3 pbc="T T T"
Os 0.682 2.232 1.446
Cr 3.013 2.137 0.000
Cr 0.001 0.001 0.000
Hg 2.344 -0.112 1.427
```